La5Cd3 | PBEsol | optimized geometry

extended XYZ file:
```
16
Lattice="-6.3256 6.3256 2.9857 6.3256 -6.3256 2.9857 6.3256 6.3256 -2.9857" Properties=species:S:1:pos:R:3 pbc="T T T"
La 9.8100 1.0921 0.0000
La 1.0921 2.8411 0.0000
La 6.3256 0.0000 1.4928
La 7.4176 3.4845 0.0000
La 3.4845 5.2335 0.0000
La 2.8411 1.0921 2.9857
La -1.0921 2.8411 2.9857
La 0.0000 6.3256 1.4928
La 5.2335 3.4845 2.9857
La -3.4845 5.2335 2.9857
Cd 4.2670 2.0585 0.0000
Cd 0.0000 0.0000 1.4928
Cd 4.2670 -2.0585 2.9857
Cd 2.0585 8.3841 0.0000
Cd 0.0000 0.0000 4.4785
Cd 2.0585 4.2670 2.9857
```

Results
Volume   477.9 Å³/cell
ΔE_f   -0.200 eV/atom

---

CaLaVCrO6 | PBEsol | optimized geometry

extended XYZ file:
```
20
Lattice="5.3662 0.0000 0.0000 0.0000 5.3797 0.0000 -5.3611 0.0000 7.5837" Properties=species:S:1:pos:R:3 pbc="T T T"
Ca 0.0000 1.1583 0.0000
Ca -2.6806 4.2214 3.7918
La -0.0512 1.4694 3.7965
La 2.6294 3.9103 0.0047
V -2.7144 1.3461 5.6953
V -0.0338 4.0336 1.9034
Cr 2.6490 1.3501 1.8950
Cr -0.0315 4.0297 5.6868
O -1.2136 0.1415 2.1202
O -3.8942 5.2382 5.9120
O 1.1122 2.5239 1.6342
O -1.5683 2.8558 5.4261
O -1.2349 0.1583 5.4739
O 1.4457 5.2214 1.6821
O -2.3596 1.3811 7.5681
O 0.3209 3.9986 3.7763
O 2.3570 1.2862 3.8113
O 5.0376 4.0936 0.0195
O 1.1420 2.4966 5.9478
O 3.8226 2.8832 2.1560
```

Results
Uncorrected energy   -173.7 eV for the cell shown
Volume   218.9 Å³/cell

---

AuCNF2 | PBEsol | optimized geometry

extended XYZ file:
```
5
Lattice="4.3539 0.0000 0.0000 0.0000 4.3539 0.0000 0.0000 0.0000 3.7219" Properties=species:S:1:pos:R:3 pbc="T T T"
Au 0.0000 0.0000 0.0000
C 2.1769 2.1769 1.8610
N 0.0000 0.0000 1.8610
F 0.0000 2.1769 0.0000
F 2.1769 0.0000 0.0000
```

Results
Uncorrected energy   -17.6 eV for the cell shown
Volume   70.6 Å³/cell

---

TaReSi2 | PBEsol | optimized geometry

extended XYZ file:
```
4
Lattice="3.1343 0.0000 0.0000 0.0000 3.1343 0.0000 0.0000 0.0000 5.7421" Properties=species:S:1:pos:R:3 pbc="T T T"
Ta 0.0000 0.0000 0.0000
Re 1.5672 1.5672 1.7702
Si 0.0000 0.0000 2.9370
Si 1.5672 1.5672 4.3281
```

Results
Uncorrected energy   -39.4 eV for the cell shown
Volume   56.4 Å³/cell

---

ScCd2Hg | PBEsol | optimized geometry

extended XYZ file:
```
8
Lattice="3.6871 0.0000 0.0000 0.0000 4.6949 0.0000 0.0000 0.0000 9.7314" Properties=species:S:1:pos:R:3 pbc="T T T"
Sc 0.0000 0.0000 0.0000
Sc 1.8436 2.3474 4.8657
Cd 0.0000 2.3474 2.3970
Cd 0.0000 2.3474 7.3344
Cd 1.8436 0.0000 2.4687
Cd 1.8436 0.0000 7.2627
Hg 0.0000 0.0000 4.8657
Hg 1.8436 2.3474 0.0000
```

Results
Volume   168.5 Å³/cell
ΔE_f   -0.204 eV/atom

---

Mg5Zn | PBEsol | optimized geometry

extended XYZ file:
```
12
Lattice="11.2821 0.0000 0.0000 0.0000 3.1389 0.0000 -2.0674 0.0000 7.0344" Properties=species:S:1:pos:R:3 pbc="T T T"
Mg 0.0000 0.0000 0.0000
Mg -0.9047 0.0000 4.2805
Mg 1.1730 1.5694 2.5528
Mg 0.5965 1.5694 6.4689
Mg 3.7257 0.0000 1.8921
Mg 5.6410 1.5694 0.0000
Mg 4.7363 1.5694 4.2805
Mg 6.8140 0.0000 2.5528
Mg 6.2375 0.0000 6.4689
Mg 9.3668 1.5694 1.8921
Zn 2.3127 0.0000 4.7171
Zn 7.9537 1.5694 4.7171
```

Results
Volume   249.1 Å³/cell
ΔE_f   -0.001 eV/atom

---

BSbW3 | PBEsol | optimized geometry

extended XYZ file:
```
5
Lattice="4.2328 0.0000 0.0000 0.0000 4.2328 0.0000 0.0000 0.0000 4.2328" Properties=species:S:1:pos:R:3 pbc="T T T"
B 0.0000 0.0000 0.0000
Sb 2.1164 2.1164 2.1164
W 0.0000 0.0000 2.1164
W 0.0000 2.1164 0.0000
W 2.1164 0.0000 0.0000
```

Results
Uncorrected energy   -50.3 eV for the cell shown
Volume   75.8 Å³/cell

---

Mg2AsRh | PBEsol | optimized geometry

extended XYZ file:
```
8
Lattice="4.0148 0.0000 0.0000 0.0000 4.0148 0.0000 0.0000 0.0000 7.9517" Properties=species:S:1:pos:R:3 pbc="T T T"
Mg 0.0000 2.0074 1.9879
Mg 0.0000 2.0074 5.9638
Mg 2.0074 0.0000 1.9879
Mg 2.0074 0.0000 5.9638
As 0.0000 0.0000 0.0000
As 2.0074 2.0074 3.9759
Rh 0.0000 0.0000 3.9759
Rh 2.0074 2.0074 0.0000
```

Results
Volume   128.2 Å³/cell
ΔE_f   -0.336 eV/atom

---

La5Sc | PBEsol | optimized geometry

extended XYZ file:
```
12
Lattice="13.1055 0.0000 0.0000 0.0000 3.6059 0.0000 -2.1802 0.0000 8.2241" Properties=species:S:1:pos:R:3 pbc="T T T"
La 0.0000 0.0000 0.0000
La -0.7136 0.0000 5.0694
La 1.4685 1.8029 2.8010
La 2.7002 0.0000 5.6385
La 4.4626 0.0000 2.2123
La 6.5527 1.8029 0.0000
La 5.8391 1.8029 5.0694
La 8.0212 0.0000 2.8010
La 9.2530 1.8029 5.6385
La 11.0154 1.8029 2.2123
Sc 0.7457 1.8029 7.8320
Sc 7.2984 0.0000 7.8320
```

Results
Volume   388.6 Å³/cell
ΔE_f   0.062 eV/atom

---

K2RbInBr6 | PBEsol | optimized geometry

extended XYZ file:
```
10
Lattice="0.0000 5.7924 5.7924 5.7924 0.0000 5.7924 5.7924 5.7924 0.0000" Properties=species:S:1:pos:R:3 pbc="T T T"
K 2.8962 2.8962 2.8962
K 8.6887 8.6887 8.6887
Rb 0.0000 0.0000 0.0000
In 5.7924 5.7924 5.7924
Br 5.7924 5.7924 3.1363
Br 5.7924 3.1363 5.7924
Br 8.4486 5.7924 5.7924
Br 3.1363 5.7924 5.7924
Br 5.7924 8.4486 5.7924
Br 5.7924 5.7924 8.4486
```

Results
Uncorrected energy   -30.3 eV for the cell shown
Volume   388.7 Å³/cell

---

LiAlAg4 | PBEsol | optimized geometry

extended XYZ file:
```
6
Lattice="0.0000 3.7966 3.7966 3.7966 0.0000 3.7966 3.7966 3.7966 0.0000" Properties=species:S:1:pos:R:3 pbc="T T T"
Li 0.0000 0.0000 0.0000
Al 1.8983 1.8983 1.8983
Ag 4.7454 2.8477 2.8477
Ag 2.8477 4.7454 2.8477
Ag 2.8477 2.8477 4.7454
Ag 4.7454 4.7454 4.7454
```

Results
Volume   109.4 Å³/cell
ΔE_f   0.053 eV/atom

---

ThTe2I2 | PBEsol | optimized geometry

extended XYZ file:
```
10
Lattice="3.7887 -7.1103 0.0000 3.7887 7.1103 0.0000 -2.0481 0.0000 7.4034" Properties=species:S:1:pos:R:3 pbc="T T T"
Th 3.7887 5.0719 0.0000
Th 3.7887 -5.0719 0.0000
Te 0.0941 0.0000 2.4615
Te 2.3064 0.0000 0.7879
Te 3.2229 0.0000 6.6155
Te 5.4352 0.0000 4.9419
I 0.3490 2.9619 5.5413
I 0.3490 -2.9619 5.5413
I 5.1803 2.9619 1.8622
I 5.1803 -2.9619 1.8622
```

Results
Uncorrected energy   -47.1 eV for the cell shown
Volume   398.9 Å³/cell

---

La2AgN | PBEsol | optimized geometry

extended XYZ file:
```
16
Lattice="6.9794 0.0000 0.0000 0.0000 6.9794 0.0000 0.0000 0.0000 8.4571" Properties=species:S:1:pos:R:3 pbc="T T T"
La 1.1672 1.7448 1.0571
La 1.7448 4.6568 3.1714
La 1.7448 5.8122 7.4000
La 2.3225 1.7448 5.2857
La 4.6568 5.2345 5.2857
La 5.2345 1.1672 7.4000
La 5.2345 2.3225 3.1714
La 5.8122 5.2345 1.0571
Ag 0.0000 0.0000 4.2285
Ag 0.0000 3.4897 6.3428
Ag 3.4897 0.0000 2.1143
Ag 3.4897 3.4897 0.0000
N 0.0000 0.0000 0.0000
N 0.0000 3.4897 2.1143
N 3.4897 0.0000 6.3428
N 3.4897 3.4897 4.2285
```

Results
Uncorrected energy   -101.3 eV for the cell shown
Volume   412.0 Å³/cell

---

Fe2GeB2 | PBEsol | optimized geometry

extended XYZ file:
```
10
Lattice="3.5318 0.0000 0.0000 0.0000 3.5318 0.0000 0.0000 0.0000 7.5446" Properties=species:S:1:pos:R:3 pbc="T T T"
Fe 0.0000 1.7659 1.8861
Fe 0.0000 1.7659 5.6584
Fe 1.7659 0.0000 1.8861
Fe 1.7659 0.0000 5.6584
Ge 0.0000 0.0000 0.0000
Ge 1.7659 1.7659 3.7723
B 0.0000 0.0000 2.9004
B 0.0000 0.0000 4.6442
B 1.7659 1.7659 0.8719
B 1.7659 1.7659 6.6726
```

Results
Volume   94.1 Å³/cell
ΔE_f   0.067 eV/atom

---

LiCu2Ni | PBEsol | optimized geometry

extended XYZ file:
```
8
Lattice="3.5323 0.0000 0.0000 0.0000 3.5323 0.0000 0.0000 0.0000 7.0321" Properties=species:S:1:pos:R:3 pbc="T T T"
Li 0.0000 0.0000 0.0000
Li 1.7662 1.7662 3.5161
Cu 0.0000 0.0000 3.5161
Cu 0.0000 1.7662 5.2741
Cu 1.7662 0.0000 1.7580
Cu 1.7662 1.7662 0.0000
Ni 0.0000 1.7662 1.7580
Ni 1.7662 0.0000 5.2741
```

Results
Volume   87.7 Å³/cell
ΔE_f   0.016 eV/atom

---

Sr2InAg | PBEsol | optimized geometry

extended XYZ file:
```
4
Lattice="5.6079 0.0000 0.0000 0.0000 5.6079 0.0000 0.0000 0.0000 3.8300" Properties=species:S:1:pos:R:3 pbc="T T T"
Sr 0.0000 2.8039 0.0000
Sr 2.8039 0.0000 0.0000
In 0.0000 0.0000 1.9150
Ag 2.8039 2.8039 1.9150
```

Results
Volume   120.4 Å³/cell
ΔE_f   -0.317 eV/atom

---

NbBi2SbIr | PBEsol | optimized geometry

extended XYZ file:
```
5
Lattice="5.6397 0.0000 0.0000 0.0000 5.6397 0.0000 0.0000 0.0000 4.7586" Properties=species:S:1:pos:R:3 pbc="T T T"
Nb 0.0000 0.0000 0.0000
Bi 0.0000 2.8198 2.3793
Bi 2.8198 0.0000 2.3793
Sb 2.8198 2.8198 2.3793
Ir 2.8198 2.8198 0.0000
```

Results
Uncorrected energy   -25.6 eV for the cell shown
Volume   151.4 Å³/cell

---

LiZnSi2 | PBEsol | optimized geometry

extended XYZ file:
```
4
Lattice="2.6370 0.0000 0.0000 0.0000 4.3942 0.0000 0.0000 0.0000 5.0232" Properties=species:S:1:pos:R:3 pbc="T T T"
Li 0.0000 0.0000 0.0000
Zn 1.3185 2.1971 1.1950
Si 1.3185 0.0000 2.5337
Si 1.3185 2.1971 3.7643
```

Results
Uncorrected energy   -15.1 eV for the cell shown
Volume   58.2 Å³/cell

---

BaAl3Mo | PBEsol | optimized geometry

extended XYZ file:
```
5
Lattice="4.9572 0.0000 0.0000 0.0000 4.9572 0.0000 0.0000 0.0000 4.9572" Properties=species:S:1:pos:R:3 pbc="T T T"
Ba 0.0000 0.0000 0.0000
Al 0.0000 2.4786 2.4786
Al 2.4786 0.0000 2.4786
Al 2.4786 2.4786 0.0000
Mo 2.4786 2.4786 2.4786
```

Results
Volume   121.8 Å³/cell
ΔE_f   -0.024 eV/atom

---

LaZn2PbCl | PBEsol | optimized geometry

extended XYZ file:
```
5
Lattice="5.0071 0.0000 0.0000 0.0000 5.0071 0.0000 0.0000 0.0000 6.3804" Properties=species:S:1:pos:R:3 pbc="T T T"
La 0.0000 0.0000 0.0000
Zn 0.0000 2.5036 3.1902
Zn 2.5036 0.0000 3.1902
Pb 0.0000 0.0000 3.1902
Cl 2.5036 2.5036 0.0000
```

Results
Uncorrected energy   -14.2 eV for the cell shown
Volume   160.0 Å³/cell

---

LiCr2Ru | PBEsol | optimized geometry

extended XYZ file:
```
8
Lattice="4.8086 0.0000 0.0000 0.0000 8.3392 0.0000 -0.7577 0.0000 2.3467" Properties=species:S:1:pos:R:3 pbc="T T T"
Li 0.0000 0.0000 0.0000
Li 2.4043 4.1696 0.0000
Cr 0.8233 2.0848 1.1733
Cr 0.8233 6.2544 1.1733
Cr 3.2275 2.0848 1.1733
Cr 3.2275 6.2544 1.1733
Ru 0.0000 4.1696 0.0000
Ru 2.4043 0.0000 0.0000
```

Results
Volume   94.1 Å³/cell
ΔE_f   0.371 eV/atom

---

LiScCu | PBEsol | optimized geometry

extended XYZ file:
```
3
Lattice="3.0342 0.0000 0.0000 -1.5171 2.6277 0.0000 0.0000 0.0000 6.6763" Properties=species:S:1:pos:R:3 pbc="T T T"
Li 0.0000 0.0000 0.0000
Sc 0.0000 1.7518 3.9959
Cu 1.5171 0.8759 1.9778
```

Results
Volume   53.2 Å³/cell
ΔE_f   0.175 eV/atom

---

BeRu | PBEsol | optimized geometry

extended XYZ file:
```
8
Lattice="2.7584 0.0000 0.0000 0.0000 8.2852 0.0000 0.0000 0.0000 3.6362" Properties=species:S:1:pos:R:3 pbc="T T T"
Be 0.0000 0.6200 0.9091
Be 0.0000 7.6651 2.7272
Be 1.3792 3.5226 2.7272
Be 1.3792 4.7626 0.9091
Ru 0.0000 2.9028 0.9091
Ru 0.0000 5.3824 2.7272
Ru 1.3792 1.2398 2.7272
Ru 1.3792 7.0454 0.9091
```

Results
Volume   83.1 Å³/cell
ΔE_f   -0.208 eV/atom

---

MgScIn2 | PBEsol | optimized geometry

extended XYZ file:
```
8
Lattice="6.3653 0.0000 0.0000 0.0000 8.4547 0.0000 0.0000 0.0000 3.2425" Properties=species:S:1:pos:R:3 pbc="T T T"
Mg 0.0000 0.0000 0.0000
Mg 3.1826 4.2273 0.0000
Sc 0.0000 4.2273 0.0000
Sc 3.1826 0.0000 0.0000
In 1.5913 2.1137 1.6213
In 1.5913 6.3410 1.6213
In 4.7740 2.1137 1.6213
In 4.7740 6.3410 1.6213
```

Results
Volume   174.5 Å³/cell
ΔE_f   -0.338 eV/atom

---

Sr3Sn4Bi | PBEsol | optimized geometry

extended XYZ file:
```
16
Lattice="-4.4272 4.4272 6.2957 4.4272 -4.4272 6.2957 4.4272 4.4272 -6.2957" Properties=species:S:1:pos:R:3 pbc="T T T"
Sr 5.8481 1.4209 0.0000
Sr 0.0000 0.0000 3.1479
Sr 1.4209 3.0062 0.0000
Sr 3.0062 1.4209 6.2957
Sr 0.0000 0.0000 9.4436
Sr -1.4209 3.0062 6.2957
Sn 5.7044 -1.2772 2.3856
Sn 3.1499 -1.2772 3.9102
Sn 3.1499 1.2772 2.3856
Sn 5.7044 1.2772 3.9102
Sn -1.2772 3.1499 2.3856
Sn 1.2772 3.1499 3.9102
Sn 1.2772 5.7044 2.3856
Sn -1.2772 5.7044 3.9102
Bi 0.0000 0.0000 0.0000
Bi 0.0000 0.0000 6.2957
```

Results
Volume   493.6 Å³/cell
ΔE_f   -0.647 eV/atom

---

TlCd5 | PBEsol | optimized geometry

extended XYZ file:
```
6
Lattice="3.1774 0.0000 0.0000 0.0000 3.1774 0.0000 0.0000 0.0000 13.1499" Properties=species:S:1:pos:R:3 pbc="T T T"
Tl 0.0000 0.0000 0.0000
Cd 0.0000 0.0000 4.4964
Cd 0.0000 0.0000 8.6535
Cd 1.5887 1.5887 2.4332
Cd 1.5887 1.5887 6.5750
Cd 1.5887 1.5887 10.7167
```

Results
Volume   132.8 Å³/cell
ΔE_f   0.027 eV/atom